Entry 1:
Below is crystalline SrCd2GaPd4 at its relaxed geometry, with properties calculated at the PBE level.

Cell lengths 9.105, 9.105, 9.105 Å; angles 29.23, 29.23, 29.23 degrees
Element x y z (fractional)
1 Sr 0.000 0.000 0.000
2 Cd 0.242 0.242 0.242
3 Cd 0.758 0.758 0.758
4 Ga 0.500 0.500 0.500
5 Pd 0.133 0.133 0.133
6 Pd 0.405 0.405 0.405
7 Pd 0.595 0.595 0.595
8 Pd 0.867 0.867 0.867

Summary:
total magnetic moment	0.00	μB/f.u.
DFT formation energy	-3.8	eV per formula unit
DOS at the Fermi energy	0.5381	states/eV/atom



Entry 2:
Below is crystalline VCrP2 at its relaxed geometry, with properties calculated at the PBE level.

Cell lengths 6.615, 6.615, 6.615 Å; angles 131.76, 131.76, 70.60 degrees
Element x y z (fractional)
1 V 0.000 0.000 0.000
2 V 0.750 0.250 0.500
3 Cr 0.250 0.750 0.500
4 Cr 0.500 0.500 0.000
5 P 0.128 0.625 0.003
6 P 0.375 0.378 0.503
7 P 0.622 0.125 0.997
8 P 0.875 0.872 0.497

Summary:
total magnetic moment	4.75	μB/f.u.
DFT formation energy	-0.1	eV per formula unit
DOS at the Fermi energy	0.8180	states/eV/atom



Entry 3:
Below is crystalline Zr5Co2Pt at its relaxed geometry, with properties calculated at the PBE level.

Cell lengths 8.100, 8.100, 8.100 Å; angles 130.47, 130.47, 72.65 degrees
Element x y z (fractional)
1 Zr 0.000 0.000 0.000
2 Zr 0.021 0.521 0.828
3 Zr 0.192 0.021 0.500
4 Zr 0.308 0.808 0.828
5 Zr 0.479 0.308 0.500
6 Zr 0.500 0.500 0.000
7 Zr 0.521 0.692 0.500
8 Zr 0.692 0.192 0.172
9 Zr 0.808 0.979 0.500
10 Zr 0.979 0.479 0.172
11 Co 0.131 0.369 0.500
12 Co 0.369 0.869 0.237
13 Co 0.631 0.131 0.763
14 Co 0.869 0.631 0.500
15 Pt 0.250 0.250 0.000
16 Pt 0.750 0.750 0.000

Summary:
total magnetic moment	0.00	μB/f.u.
DFT formation energy	-3.6	eV per formula unit
DOS at the Fermi energy	1.2618	states/eV/atom



Entry 4:
Below is crystalline PaNbV4 at its relaxed geometry, with properties calculated at the PBE level.

Cell lengths 5.172, 5.172, 5.172 Å; angles 60.00, 60.00, 60.00 degrees
Element x y z (fractional)
1 Pa 0.000 0.000 0.000
2 Nb 0.750 0.750 0.750
3 V 0.374 0.374 0.374
4 V 0.374 0.374 0.877
5 V 0.374 0.877 0.374
6 V 0.877 0.374 0.374

Summary:
total magnetic moment	0.00	μB/f.u.
DFT formation energy	0.3	eV per formula unit
DOS at the Fermi energy	1.7009	states/eV/atom



Entry 5:
Below is crystalline Na2SeS at its relaxed geometry, with properties calculated at the PBE level.

Cell lengths 4.925, 4.925, 4.925 Å; angles 60.00, 60.00, 60.00 degrees
Element x y z (fractional)
1 Na 0.250 0.250 0.250
2 Na 0.750 0.750 0.750
3 Se 0.000 0.000 0.000
4 S 0.500 0.500 0.500

Summary:
formation energy without anion corrections	-11.82	kcal/mol of atoms
total magnetic moment	0.00	μB/f.u.
DOS at the Fermi energy	0.9471	states/eV/atom



Entry 6:
Below is crystalline Sm2TmZrN4 at its relaxed geometry, with properties calculated at the PBE level.

Cell lengths 5.950, 3.434, 5.999 Å; angles 90.00, 109.15, 90.00 degrees
Element x y z (fractional)
1 Sm 0.000 0.000 0.000
2 Sm 0.500 0.500 0.000
3 Tm 0.000 0.500 0.500
4 Zr 0.500 0.000 0.500
5 N 0.252 0.000 0.730
6 N 0.264 0.500 0.273
7 N 0.736 0.500 0.727
8 N 0.748 0.000 0.270

Summary:
formation energy without anion corrections	-37.88	kcal/mol of atoms
total magnetic moment	0.00	μB/f.u.
DOS at the Fermi energy	0.1318	states/eV/atom



Entry 7:
Below is crystalline LiHoSb3 at its relaxed geometry, with properties calculated at the PBE level.

Cell lengths 13.411, 6.016, 6.269 Å; angles 90.00, 90.00, 90.00 degrees
Element x y z (fractional)
1 Li 0.108 0.250 0.000
2 Li 0.108 0.250 0.500
3 Li 0.892 0.750 0.000
4 Li 0.892 0.750 0.500
5 Ho 0.318 0.512 0.250
6 Ho 0.318 0.988 0.750
7 Ho 0.682 0.012 0.250
8 Ho 0.682 0.488 0.750
9 Sb 0.083 0.707 0.250
10 Sb 0.083 0.793 0.750
11 Sb 0.256 0.003 0.250
12 Sb 0.256 0.497 0.750
13 Sb 0.496 0.250 0.000
14 Sb 0.496 0.250 0.500
15 Sb 0.504 0.750 0.000
16 Sb 0.504 0.750 0.500
17 Sb 0.744 0.503 0.250
18 Sb 0.744 0.997 0.750
19 Sb 0.917 0.207 0.250
20 Sb 0.917 0.293 0.750

Summary:
formation energy without anion corrections	-13.80	kcal/mol of atoms
total magnetic moment	0.00	μB/f.u.
DOS at the Fermi energy	0.3361	states/eV/atom



Entry 8:
Below is crystalline DyY2Tm12 at its relaxed geometry, with properties calculated at the PBE level.

Cell lengths 6.530, 6.530, 23.975 Å; angles 92.27, 92.27, 114.50 degrees
Element x y z (fractional)
1 Dy 0.250 0.250 0.001
2 Dy 0.750 0.750 0.999
3 Y 0.067 0.067 0.272
4 Y 0.432 0.432 0.728
5 Y 0.568 0.568 0.272
6 Y 0.933 0.933 0.728
7 Tm 0.048 0.551 0.201
8 Tm 0.084 0.582 0.331
9 Tm 0.138 0.638 0.554
10 Tm 0.143 0.143 0.574
11 Tm 0.216 0.216 0.864
12 Tm 0.232 0.731 0.925
13 Tm 0.269 0.768 0.075
14 Tm 0.285 0.285 0.138
15 Tm 0.357 0.357 0.427
16 Tm 0.362 0.862 0.446
17 Tm 0.418 0.916 0.669
18 Tm 0.449 0.952 0.799
19 Tm 0.551 0.048 0.201
20 Tm 0.582 0.084 0.331
21 Tm 0.638 0.138 0.554
22 Tm 0.643 0.643 0.573
23 Tm 0.715 0.715 0.862
24 Tm 0.731 0.232 0.925
25 Tm 0.768 0.269 0.075
26 Tm 0.784 0.784 0.136
27 Tm 0.857 0.857 0.426
28 Tm 0.862 0.362 0.446
29 Tm 0.916 0.418 0.669
30 Tm 0.952 0.449 0.799

Summary:
total magnetic moment	0.00	μB/f.u.
DFT formation energy	1.8	eV per formula unit
DOS at the Fermi energy	1.6676	states/eV/atom



Entry 9:
Below is crystalline LaMnSi2Os at its relaxed geometry, with properties calculated at the PBE level.

Cell lengths 6.019, 6.019, 6.019 Å; angles 140.29, 140.29, 57.42 degrees
Element x y z (fractional)
1 La 0.000 0.000 0.000
2 Mn 0.750 0.250 0.500
3 Si 0.374 0.374 0.000
4 Si 0.626 0.626 0.000
5 Os 0.250 0.750 0.500

Summary:
formation energy without anion corrections	-15.04	kcal/mol of atoms
total magnetic moment	2.66	μB/f.u.
DOS at the Fermi energy	0.2807	states/eV/atom



Entry 10:
Below is crystalline Li2TbInBr6 at its relaxed geometry, with properties calculated at the PBE level.

Cell lengths 7.877, 7.877, 7.877 Å; angles 55.14, 55.14, 55.14 degrees
Element x y z (fractional)
1 Li 0.000 0.000 0.000
2 Li 0.491 0.491 0.491
3 Tb 0.806 0.806 0.806
4 In 0.287 0.287 0.287
5 Br 0.078 0.395 0.742
6 Br 0.223 0.823 0.649
7 Br 0.395 0.742 0.078
8 Br 0.649 0.223 0.823
9 Br 0.742 0.078 0.395
10 Br 0.823 0.649 0.223

Summary:
formation energy without anion corrections	-33.85	kcal/mol of atoms
total magnetic moment	0.00	μB/f.u.
DOS at the Fermi energy	0.0000	states/eV/atom



Entry 11:
Below is crystalline KSrTe2I at its relaxed geometry, with properties calculated at the PBE level.

Cell lengths 5.967, 5.967, 6.270 Å; angles 90.00, 90.00, 90.00 degrees
Element x y z (fractional)
1 K 0.000 0.000 0.000
2 Sr 0.500 0.500 0.500
3 Te 0.000 0.500 0.000
4 Te 0.500 0.000 0.000
5 I 0.000 0.000 0.500

Summary:
formation energy without anion corrections	-7.66	kcal/mol of atoms
total magnetic moment	0.00	μB/f.u.
DOS at the Fermi energy	1.0788	states/eV/atom



Entry 12:
Below is crystalline Bi at its relaxed geometry, with properties calculated at the PBE level.

Cell lengths 4.612, 19.502, 4.816 Å; angles 90.00, 90.00, 90.00 degrees
Element x y z (fractional)
1 Bi 0.250 0.083 0.208
2 Bi 0.250 0.250 0.166
3 Bi 0.250 0.417 0.208
4 Bi 0.250 0.586 0.360
5 Bi 0.250 0.750 0.272
6 Bi 0.250 0.914 0.360
7 Bi 0.750 0.086 0.640
8 Bi 0.750 0.250 0.728
9 Bi 0.750 0.414 0.640
10 Bi 0.750 0.583 0.792
11 Bi 0.750 0.750 0.834
12 Bi 0.750 0.917 0.792

Summary:
total magnetic moment	0.00	μB/f.u.
DFT formation energy	0.0	eV per formula unit
DOS at the Fermi energy	0.1973	states/eV/atom



Entry 13:
Below is crystalline MgZn2CdPd at its relaxed geometry, with properties calculated at the PBE level.

Cell lengths 4.847, 4.847, 4.979 Å; angles 90.00, 90.00, 90.00 degrees
Element x y z (fractional)
1 Mg 0.000 0.000 0.000
2 Zn 0.000 0.500 0.500
3 Zn 0.500 0.000 0.500
4 Cd 0.500 0.500 0.000
5 Pd 0.000 0.000 0.500

Summary:
total magnetic moment	0.00	μB/f.u.
DFT formation energy	0.0	eV per formula unit
DOS at the Fermi energy	0.3393	states/eV/atom



Entry 14:
Below is crystalline DySeCl at its relaxed geometry, with properties calculated at the PBE level.

Cell lengths 7.360, 7.360, 7.360 Å; angles 152.18, 152.18, 39.74 degrees
Element x y z (fractional)
1 Dy 0.000 0.000 0.000
2 Se 0.396 0.396 0.000
3 Cl 0.629 0.629 0.000

Summary:
formation energy without anion corrections	-39.12	kcal/mol of atoms
total magnetic moment	0.00	μB/f.u.
DOS at the Fermi energy	0.2519	states/eV/atom